9
Lattice="6.045 -1.964 0.000 6.045 1.964 0.000 -1.995 0.000 6.022" Properties=species:S:1:pos:R:3 comment="Ta2IrPt6 PBE-GGA optimized geometry" vol_a3_per_cell=143 formation_energy_ev_per_atom=-0.607 e_tot_ev_per_cell=-74.276 pbc="T T T"
Ta 0.078 0.000 1.935
Ta 10.015 0.000 4.087
Ir 6.045 0.000 0.000
Pt 1.977 0.000 0.028
Pt 2.088 0.000 3.979
Pt 4.147 0.000 2.009
Pt 5.947 0.000 4.013
Pt 8.006 0.000 2.044
Pt 8.117 0.000 5.994